A plane-wave DFT calculation with PBE-GGA was carried out for a relaxed structure of Li6TlHg5.

Values from the calculation:
formation energy: -398.6 kJ/mol of formula units
spin magnetization: 0.00 μB/f.u.
SG: No. 12
D(E_F): 0.298 states/eV/atom

Cell: 4.7737 8.2533 8.2533 Å, 120.12 107.25 107.25°
Fractional coordinates of all 12 atoms:
Tl: 0.0000 0.0000 0.0000
Hg: 0.5000 0.1650 0.8350
Hg: 0.0000 0.3332 0.6669
Hg: 0.5000 0.5000 0.5000
Hg: 0.0000 0.6668 0.3332
Hg: 0.5000 0.8350 0.1650
Li: 0.2536 0.0839 0.4240
Li: 0.7464 0.5760 0.9161
Li: 0.7584 0.2583 0.2583
Li: 0.2416 0.7417 0.7417
Li: 0.2536 0.4240 0.0839
Li: 0.7464 0.9161 0.5760

---

A plane-wave DFT calculation with PBE-GGA was carried out for a relaxed structure of UZnPb2.

Values from the calculation:
formation energy: 58.1 kJ/mol of formula units
spin magnetization: 2.67 μB/f.u.
SG: No. 123
D(E_F): 1.797 states/eV/atom

Cell: 4.4625 4.7384 4.7384 Å, 90.00 90.00 90.00°
Last column: magnetic moment on the atom in μB.
Fractional coordinates of all 4 atoms:
Pb: 0.0000 0.0000 0.5000  0.00
Pb: 0.0000 0.5000 0.0000  0.00
Zn: 0.5000 0.0000 0.0000  0.01
U: 0.5000 0.5000 0.5000  2.43

---

A plane-wave DFT calculation with PBE-GGA was carried out for a relaxed structure of ErTlRh.

Values from the calculation:
formation energy: -134.9 kJ/mol of formula units
spin magnetization: 0.00 μB/f.u.
SG: No. 216
D(E_F): 0.318 states/eV/atom

Cell: 4.6754 4.6754 4.6754 Å, 60.00 60.00 60.00°
Fractional coordinates of all 3 atoms:
Tl: 0.5000 0.5000 0.5000
Rh: 0.2500 0.2500 0.2500
Er: 0.0000 0.0000 0.0000

---

A plane-wave DFT calculation with PBE-GGA was carried out for a relaxed structure of CsTlSn.

Values from the calculation:
formation energy: -30.2 kJ/mol of formula units
spin magnetization: 0.00 μB/f.u.
SG: No. 6
D(E_F): 0.498 states/eV/atom

Cell: 8.7851 4.7547 8.1606 Å, 90.00 126.31 90.00°
Fractional coordinates of all 6 atoms:
Cs: 0.6366 0.5000 0.2605
Cs: 0.9950 0.5000 0.9164
Tl: 0.0558 0.0000 0.3355
Tl: 0.3617 0.5000 0.5521
Sn: 0.2662 0.0000 0.7984
Sn: 0.6045 0.0000 0.8229

---

A plane-wave DFT calculation with PBE-GGA was carried out for a relaxed structure of Ac2In2Se5.

Values from the calculation:
spin magnetization: 0.00 μB/f.u.
ΔE_f (raw): -1.199 eV per atom
SG: No. 12
D(E_F): 0.284 states/eV/atom

Cell: 5.3800 8.2409 8.0662 Å, 118.61 90.00 109.05°
Fractional coordinates of all 9 atoms:
Ac: 0.3858 0.7717 0.7189
Ac: 0.6142 0.2283 0.2811
In: 0.1471 0.2941 0.8654
In: 0.8529 0.7059 0.1346
Se: 0.3681 0.7362 0.0981
Se: 0.6319 0.2638 0.9019
Se: 0.1573 0.3145 0.5271
Se: 0.8427 0.6855 0.4729
Se: 0.0000 0.0000 0.0000

---

A plane-wave DFT calculation with PBE-GGA was carried out for a relaxed structure of Ca3Tl2ZnRh3.

Values from the calculation:
formation energy: -264.2 kJ/mol of formula units
spin magnetization: 0.00 μB/f.u.
SG: No. 189
D(E_F): 0.625 states/eV/atom

Cell: 4.1390 7.3482 7.3482 Å, 120.00 90.00 90.00°
Fractional coordinates of all 9 atoms:
Ca: 0.0000 0.0000 0.3793
Ca: 0.0000 0.6207 0.6207
Ca: 0.0000 0.3793 0.0000
Tl: 0.5000 0.3333 0.6667
Tl: 0.5000 0.6667 0.3333
Zn: 0.0000 0.0000 0.0000
Rh: 0.5000 0.7756 0.0000
Rh: 0.5000 0.2244 0.2244
Rh: 0.5000 0.0000 0.7756

---

A plane-wave DFT calculation with PBE-GGA was carried out for a relaxed structure of ErPbO2.

Values from the calculation:
spin magnetization: 0.00 μB/f.u.
ΔE_f (raw): -2.451 eV per atom
SG: No. 166
D(E_F): 0.130 states/eV/atom

Cell: 3.4566 3.4566 7.3517 Å, 76.40 76.40 60.00°
Fractional coordinates of all 4 atoms:
Pb: 0.0000 0.0000 0.0000
O: 0.1153 0.1153 0.6541
O: 0.8847 0.8847 0.3459
Er: 0.5000 0.5000 0.5000

---

A plane-wave DFT calculation with PBE-GGA was carried out for a relaxed structure of Sc6RuRh.

Values from the calculation:
formation energy: -299.6 kJ/mol of formula units
spin magnetization: 1.83 μB/f.u.
SG: No. 139
D(E_F): 1.188 states/eV/atom

Cell: 4.5865 4.5865 8.5843 Å, 74.51 74.51 90.00°
Last column: magnetic moment on the atom in μB.
Fractional coordinates of all 8 atoms:
Sc: 0.7480 0.7480 0.5041  0.34
Sc: 0.5984 0.0984 0.8032  0.09
Sc: 0.0984 0.5984 0.8032  0.09
Sc: 0.4016 0.9016 0.1968  0.09
Sc: 0.2520 0.2520 0.4959  0.34
Sc: 0.9016 0.4016 0.1968  0.09
Ru: 0.5000 0.5000 0.0000  0.04
Rh: 0.0000 0.0000 0.0000  0.05

---

A plane-wave DFT calculation with PBE-GGA was carried out for a relaxed structure of TiP2O7.

Values from the calculation:
spin magnetization: 0.00 μB/f.u.
ΔE_f (raw): -2.465 eV per atom
SG: No. 14
D(E_F): 0.000 states/eV/atom

Cell: 8.2758 7.2222 9.4375 Å, 70.85 90.00 90.00°
Fractional coordinates of all 40 atoms:
Ti: 0.5102 0.7209 0.7432
Ti: 0.9898 0.7209 0.2432
Ti: 0.0102 0.2791 0.7568
Ti: 0.4898 0.2791 0.2568
P: 0.7644 0.9252 0.9385
P: 0.7356 0.9252 0.4385
P: 0.1968 0.6785 0.5527
P: 0.6968 0.3215 0.9473
P: 0.3032 0.6785 0.0527
P: 0.8032 0.3215 0.4473
P: 0.2644 0.0748 0.5615
P: 0.2356 0.0748 0.0615
O: 0.9071 0.0160 0.8368
O: 0.6487 0.8091 0.8744
O: 0.5929 0.0160 0.3368
O: 0.1543 0.8996 0.5438
O: 0.3325 0.6636 0.8978
O: 0.6804 0.7982 0.5947
O: 0.8513 0.8091 0.3744
O: 0.3734 0.6430 0.6039
O: 0.3457 0.8996 0.0438
O: 0.1675 0.6636 0.3978
O: 0.5826 0.4532 0.8289
O: 0.8196 0.7982 0.0947
O: 0.0826 0.5468 0.6711
O: 0.8734 0.3570 0.8961
O: 0.1266 0.6430 0.1039
O: 0.9174 0.4532 0.3289
O: 0.1804 0.2018 0.9053
O: 0.4174 0.5468 0.1711
O: 0.8325 0.3364 0.6022
O: 0.6543 0.1004 0.9562
O: 0.6266 0.3570 0.3961
O: 0.1487 0.1909 0.6256
O: 0.3196 0.2018 0.4053
O: 0.6675 0.3364 0.1022
O: 0.8457 0.1004 0.4562
O: 0.4071 0.9840 0.6632
O: 0.3513 0.1909 0.1256
O: 0.0929 0.9840 0.1632

---

A plane-wave DFT calculation with PBE-GGA was carried out for a relaxed structure of HoScCI.

Values from the calculation:
spin magnetization: 0.00 μB/f.u.
ΔE_f (raw): -0.727 eV per atom
SG: No. 160
D(E_F): 0.557 states/eV/atom

Cell: 3.6578 3.6577 7.4481 Å, 90.00 104.21 120.00°
Fractional coordinates of all 4 atoms:
Ho: 0.5232 0.1596 0.6980
Sc: 0.0784 0.9372 0.0309
C: 0.3150 0.5554 0.8858
I: 0.9613 0.3787 0.3550

---

A plane-wave DFT calculation with PBE-GGA was carried out for a relaxed structure of CrTc3.

Values from the calculation:
formation energy: 72.3 kJ/mol of formula units
spin magnetization: 0.89 μB/f.u.
SG: No. 123
D(E_F): 1.438 states/eV/atom

Cell: 4.3007 4.3007 3.0448 Å, 90.00 90.00 90.00°
Last column: magnetic moment on the atom in μB.
Fractional coordinates of all 4 atoms:
Cr: 0.0000 0.0000 0.0000  0.95
Tc: 0.0000 0.5000 0.5000  -0.04
Tc: 0.5000 0.0000 0.5000  -0.04
Tc: 0.5000 0.5000 0.0000  -0.01

---

A plane-wave DFT calculation with PBE-GGA was carried out for a relaxed structure of ReSiP2.

Values from the calculation:
spin magnetization: 0.00 μB/f.u.
ΔE_f (raw): 0.350 eV per atom
SG: No. 44
D(E_F): 0.407 states/eV/atom

Cell: 4.7194 4.7194 4.7194 Å, 141.44 121.93 71.89°
Fractional coordinates of all 4 atoms:
P: 0.9970 0.9970 0.0000
P: 0.7653 0.2653 0.5000
Re: 0.5137 0.5137 0.0000
Si: 0.2241 0.7241 0.5000

---

A plane-wave DFT calculation with PBE-GGA was carried out for a relaxed structure of TmIn2Cu.

Values from the calculation:
formation energy: -70.5 kJ/mol of formula units
spin magnetization: 0.00 μB/f.u.
SG: No. 166
D(E_F): 0.387 states/eV/atom

Cell: 4.4691 4.4691 5.8442 Å, 67.52 67.52 60.00°
Fractional coordinates of all 4 atoms:
Tm: 0.0000 0.0000 0.0000
Cu: 0.5000 0.5000 0.5000
In: 0.7783 0.7783 0.6652
In: 0.2217 0.2217 0.3348

---

A plane-wave DFT calculation with PBE-GGA was carried out for a relaxed structure of NaBHO2.

Values from the calculation:
DFT total energy: -5.697 eV/atom
spin magnetization: 0.13 μB/f.u.
SG: No. 12
D(E_F): 0.243 states/eV/atom

Cell: 2.5058 9.2017 5.6737 Å, 114.62 90.00 97.83°
Last column: magnetic moment on the atom in μB.
Fractional coordinates of all 10 atoms:
Na: 0.3841 0.7681 0.2285  0.00
Na: 0.6159 0.2319 0.7715  0.00
B: 0.0435 0.0869 0.1951  0.00
B: 0.9565 0.9131 0.8049  0.00
H: 0.7512 0.5024 0.0020  0.02
H: 0.2488 0.4976 0.9980  0.02
O: 0.4252 0.8504 0.6549  0.00
O: 0.5748 0.1496 0.3451  0.00
O: 0.0492 0.0985 0.9384  0.07
O: 0.9508 0.9015 0.0616  0.07

---

A plane-wave DFT calculation with PBE-GGA was carried out for a relaxed structure of Pm3Dy2TmSe6.

Values from the calculation:
spin magnetization: 0.00 μB/f.u.
ΔE_f (raw): -1.782 eV per atom
SG: No. 12
D(E_F): 0.442 states/eV/atom

Cell: 4.0901 8.3387 9.2634 Å, 104.26 102.75 90.00°
Fractional coordinates of all 12 atoms:
Pm: 0.5000 0.5000 0.0000
Pm: 0.8318 0.1667 0.6636
Pm: 0.1682 0.8333 0.3364
Dy: 0.8325 0.6654 0.6650
Dy: 0.1675 0.3346 0.3350
Tm: 0.5000 0.0000 0.0000
Se: 0.3380 0.9114 0.6761
Se: 0.6688 0.5766 0.3375
Se: 0.6620 0.0886 0.3239
Se: 0.0021 0.2392 0.0041
Se: 0.9979 0.7608 0.9959
Se: 0.3312 0.4234 0.6625

---

A plane-wave DFT calculation with PBE-GGA was carried out for a relaxed structure of Cs2TeS3.

Values from the calculation:
spin magnetization: 0.00 μB/f.u.
ΔE_f (raw): -0.675 eV per atom
SG: No. 15

Cell: 6.8562 7.4873 12.1274 Å, 120.15 90.00 117.25°
Fractional coordinates of all 12 atoms:
Cs: 0.4818 0.6434 0.3956
Cs: 0.1616 0.6434 0.8956
Cs: 0.8384 0.3566 0.1044
Cs: 0.5182 0.3566 0.6044
Te: 0.8900 0.0000 0.2500
Te: 0.1100 0.0000 0.7500
S: 0.7597 0.0000 0.7500
S: 0.2403 0.0000 0.2500
S: 0.6367 0.6235 0.9880
S: 0.0132 0.3765 0.5120
S: 0.9868 0.6235 0.4880
S: 0.3633 0.3765 0.0120

---

A plane-wave DFT calculation with PBE-GGA was carried out for a relaxed structure of Y2AgB.

Values from the calculation:
formation energy: 72.2 kJ/mol of formula units
spin magnetization: 0.00 μB/f.u.
SG: No. 122
D(E_F): 0.488 states/eV/atom

Cell: 7.3153 7.3153 6.2883 Å, 54.43 54.43 90.00°
Fractional coordinates of all 8 atoms:
Y: 0.5645 0.1250 0.2500
Y: 0.1855 0.6250 0.2500
Y: 0.3750 0.4355 0.7500
Y: 0.8750 0.8145 0.7500
B: 0.5000 0.5000 0.0000
B: 0.2500 0.7500 0.5000
Ag: 0.0000 0.0000 0.0000
Ag: 0.7500 0.2500 0.5000

---

A plane-wave DFT calculation with PBE-GGA was carried out for a relaxed structure of NaTb5Ru4.

Values from the calculation:
formation energy: -264.1 kJ/mol of formula units
spin magnetization: 0.00 μB/f.u.
SG: No. 123
D(E_F): 0.565 states/eV/atom

Cell: 3.4164 3.4164 19.5667 Å, 90.00 90.00 90.00°
Fractional coordinates of all 10 atoms:
Na: 0.0000 0.0000 0.0000
Tb: 0.5000 0.5000 0.1531
Tb: 0.5000 0.5000 0.3264
Tb: 0.5000 0.5000 0.5000
Tb: 0.5000 0.5000 0.6736
Tb: 0.5000 0.5000 0.8469
Ru: 0.0000 0.0000 0.2322
Ru: 0.0000 0.0000 0.4128
Ru: 0.0000 0.0000 0.5872
Ru: 0.0000 0.0000 0.7678

---

A plane-wave DFT calculation with PBE-GGA was carried out for a relaxed structure of AuSeI2N.

Values from the calculation:
spin magnetization: 0.00 μB/f.u.
ΔE_f (raw): 0.975 eV per atom
SG: No. 123
D(E_F): 0.328 states/eV/atom

Cell: 6.0310 6.0310 3.6510 Å, 90.00 90.00 90.00°
Fractional coordinates of all 5 atoms:
I: 0.0000 0.5000 0.0000
I: 0.5000 0.0000 0.0000
Au: 0.5000 0.5000 0.5000
Se: 0.0000 0.0000 0.0000
N: 0.0000 0.0000 0.5000

---

A plane-wave DFT calculation with PBE-GGA was carried out for a relaxed structure of K2CrN.

Values from the calculation:
spin magnetization: 2.88 μB/f.u.
ΔE_f (raw): 0.124 eV per atom
SG: No. 122
D(E_F): 0.462 states/eV/atom

Cell: 11.9353 11.9353 8.6435 Å, 46.34 46.34 90.00°
Last column: magnetic moment on the atom in μB.
Fractional coordinates of all 8 atoms:
Cr: 0.0000 0.0000 0.0000  2.94
Cr: 0.7500 0.2500 0.5000  2.94
K: 0.4219 0.1250 0.2500  0.00
K: 0.3281 0.6250 0.2500  0.00
K: 0.3750 0.5781 0.7500  0.00
K: 0.8750 0.6719 0.7500  0.00
N: 0.5000 0.5000 0.0000  -0.27
N: 0.2500 0.7500 0.5000  -0.27

---

A plane-wave DFT calculation with PBE-GGA was carried out for a relaxed structure of RbNa3Ca4Br12.

Values from the calculation:
spin magnetization: 0.00 μB/f.u.
ΔE_f (raw): -1.849 eV per atom
SG: No. 204
D(E_F): 0.000 states/eV/atom

Cell: 9.5189 9.5189 9.5189 Å, 109.47 109.47 109.47°
Fractional coordinates of all 20 atoms:
Rb: 0.0000 0.0000 0.0000
Na: 0.0000 0.5000 0.5000
Na: 0.5000 0.5000 0.0000
Na: 0.5000 0.0000 0.5000
Ca: 0.5000 0.0000 0.0000
Ca: 0.5000 0.5000 0.5000
Ca: 0.0000 0.5000 0.0000
Ca: 0.0000 0.0000 0.5000
Br: 0.3040 0.8177 0.1217
Br: 0.6960 0.1823 0.8783
Br: 0.6960 0.8177 0.5137
Br: 0.8783 0.6960 0.1823
Br: 0.8177 0.1217 0.3040
Br: 0.1823 0.4863 0.3040
Br: 0.4863 0.3040 0.1823
Br: 0.1823 0.8783 0.6960
Br: 0.3040 0.1823 0.4863
Br: 0.1217 0.3040 0.8177
Br: 0.8177 0.5137 0.6960
Br: 0.5137 0.6960 0.8177

---

A plane-wave DFT calculation with PBE-GGA was carried out for a relaxed structure of Ta2ZnHRu.

Values from the calculation:
DFT total energy: -7.550 eV/atom
spin magnetization: 0.00 μB/f.u.
SG: No. 123
D(E_F): 0.596 states/eV/atom

Cell: 4.0389 4.0389 4.0593 Å, 90.00 90.00 90.00°
Fractional coordinates of all 5 atoms:
Ru: 0.5000 0.5000 0.5000
Zn: 0.0000 0.0000 0.5000
H: 0.0000 0.0000 0.0000
Ta: 0.0000 0.5000 0.0000
Ta: 0.5000 0.0000 0.0000

---

A plane-wave DFT calculation with PBE-GGA was carried out for a relaxed structure of Li4IrSe2.

Values from the calculation:
spin magnetization: 1.79 μB/f.u.
ΔE_f (raw): -0.038 eV per atom
SG: No. 139
D(E_F): 0.703 states/eV/atom

Cell: 4.5069 4.5069 7.4978 Å, 72.51 72.51 90.00°
Last column: magnetic moment on the atom in μB.
Fractional coordinates of all 7 atoms:
Ir: 0.0000 0.0000 0.0000  1.13
Se: 0.3763 0.3763 0.2473  0.20
Se: 0.6237 0.6237 0.7527  0.20
Li: 0.1900 0.1900 0.6201  0.00
Li: 0.8100 0.8100 0.3799  0.00
Li: 0.0000 0.5000 0.0000  -0.01
Li: 0.5000 0.0000 0.0000  -0.01

---

A plane-wave DFT calculation with PBE-GGA was carried out for a relaxed structure of LiLaZn2.

Values from the calculation:
formation energy: -25.8 kJ/mol of formula units
spin magnetization: 0.19 μB/f.u.
SG: No. 99
D(E_F): 0.833 states/eV/atom

Cell: 3.3152 3.3137 7.6090 Å, 90.00 90.00 90.00°
Last column: magnetic moment on the atom in μB.
Fractional coordinates of all 4 atoms:
La: 0.0000 0.0000 0.4831  0.09
Li: 0.5000 0.5000 0.8212  0.00
Zn: 0.0000 0.0000 0.0008  0.00
Zn: 0.5000 0.5000 0.1949  0.00